LaNbGe | PBE | optimized geometry

Its crystal system is orthorhombic. For the electronic total energy, the calculation gives -6.955 eV per atom. As for the symmetry: Cmcm. As for the formation energy: -40.20 kJ/mol of atoms. The total magnetization comes out at 0.00 Bohr magnetons per cell.

extended XYZ file:
```
6
Lattice="1.986 -5.841 0.000 1.986 5.841 0.000 0.000 0.000 6.075" Properties=species:S:1:pos:R:3 pbc="T T T"
La 1.986 3.585 4.556
La 1.986 -3.585 1.519
Nb 1.986 0.000 0.000
Nb 1.986 0.000 3.038
Ge 1.986 4.757 1.519
Ge 1.986 -4.757 4.556
```